[1]
A plane-wave DFT calculation with GGA-PBE was carried out for a geometry-optimized LiAg3As structure.

Results
The calculation puts the offset from the most stable computed form at 0.0000 eV per atom. The calculated formation energy is -145.1 meV/atom. The symmetry is Cmcm, No. 63. As for the total energy: -3.168 eV/atom.

The structure in CIF format:
```
data_LiAg3As
_chemical_formula_sum 'Li2 Ag6 As2'
_space_group_name_H-M_alt 'P 1'
_space_group_IT_number 1
_cell_length_a 4.119
_cell_length_b 4.138
_cell_length_c 10.292
_cell_angle_alpha 90.00
_cell_angle_beta 78.46
_cell_angle_gamma 90.00
loop_
_space_group_symop_operation_xyz
'x,y,z'
loop_
_atom_site_label
_atom_site_type_symbol
_atom_site_fract_x
_atom_site_fract_y
_atom_site_fract_z
_atom_site_occupancy
Ag1 Ag 0.074 0.750 0.500 1
Ag2 Ag 0.876 0.750 0.897 1
Ag3 Ag 0.574 0.250 0.500 1
Ag4 Ag 0.377 0.250 0.894 1
Ag5 Ag 0.271 0.750 0.106 1
Ag6 Ag 0.773 0.250 0.103 1
Li1 Li 0.673 0.750 0.302 1
Li2 Li 0.975 0.250 0.698 1
As1 As 0.477 0.750 0.694 1
As2 As 0.171 0.250 0.306 1
```

---

[2]
A plane-wave DFT calculation with GGA-PBE was carried out for a geometry-optimized Pm15Dy4Y structure.

Results
The calculated formation energy is 13.2 meV/atom. The symmetry is P4/mmm, No. 123. As for the total energy: -4.793 eV/atom.

The structure in CIF format:
```
data_Pm15Dy4Y
_chemical_formula_sum 'Pm15 Dy4 Y1'
_space_group_name_H-M_alt 'P 1'
_space_group_IT_number 1
_cell_length_a 5.133
_cell_length_b 5.133
_cell_length_c 25.582
_cell_angle_alpha 90.00
_cell_angle_beta 90.00
_cell_angle_gamma 90.00
loop_
_space_group_symop_operation_xyz
'x,y,z'
loop_
_atom_site_label
_atom_site_type_symbol
_atom_site_fract_x
_atom_site_fract_y
_atom_site_fract_z
_atom_site_occupancy
Dy1 Dy 0.000 0.000 0.200 1
Dy2 Dy 0.000 0.000 0.600 1
Dy3 Dy 0.000 0.000 0.800 1
Dy4 Dy 0.000 0.000 0.400 1
Pm1 Pm 0.500 0.000 0.500 1
Pm2 Pm 0.500 0.000 0.100 1
Pm3 Pm 0.000 0.500 0.100 1
Pm4 Pm 0.500 0.500 0.400 1
Pm5 Pm 0.500 0.500 0.600 1
Pm6 Pm 0.500 0.000 0.900 1
Pm7 Pm 0.500 0.500 0.000 1
Pm8 Pm 0.500 0.000 0.700 1
Pm9 Pm 0.000 0.500 0.700 1
Pm10 Pm 0.500 0.000 0.300 1
Pm11 Pm 0.500 0.500 0.200 1
Pm12 Pm 0.500 0.500 0.800 1
Pm13 Pm 0.000 0.500 0.300 1
Pm14 Pm 0.000 0.500 0.900 1
Pm15 Pm 0.000 0.500 0.500 1
Y1 Y 0.000 0.000 0.000 1
```

---

[3]
A plane-wave DFT calculation with GGA-PBE was carried out for a geometry-optimized Mg2AlAg8 structure.

Results
The calculation puts the offset from the most stable computed form at 0.0814 eV per atom. The calculated formation energy is 1.6 meV/atom. The symmetry is C2/m, No. 12. As for the total energy: -2.702 eV/atom.

The structure in CIF format:
```
data_Mg2AlAg8
_chemical_formula_sum 'Mg2 Al1 Ag8'
_space_group_name_H-M_alt 'P 1'
_space_group_IT_number 1
_cell_length_a 5.009
_cell_length_b 7.516
_cell_length_c 7.582
_cell_angle_alpha 60.29
_cell_angle_beta 73.98
_cell_angle_gamma 56.17
loop_
_space_group_symop_operation_xyz
'x,y,z'
loop_
_atom_site_label
_atom_site_type_symbol
_atom_site_fract_x
_atom_site_fract_y
_atom_site_fract_z
_atom_site_occupancy
Ag1 Ag 0.129 0.895 0.770 1
Ag2 Ag 0.871 0.105 0.230 1
Ag3 Ag 0.871 0.334 0.770 1
Ag4 Ag 0.679 0.605 0.000 1
Ag5 Ag 0.500 0.204 0.591 1
Ag6 Ag 0.500 0.796 0.409 1
Ag7 Ag 0.321 0.395 0.000 1
Ag8 Ag 0.129 0.666 0.230 1
Mg1 Mg 0.000 0.696 0.608 1
Mg2 Mg 0.000 0.304 0.392 1
Al1 Al 0.500 0.000 0.000 1
```

---

[4]
A plane-wave DFT calculation with GGA-PBE was carried out for a geometry-optimized RbMg2GeIr structure.

Results
The calculated formation energy is -215.1 meV/atom. The symmetry is P4/mmm, No. 123. As for the total energy: -3.742 eV/atom.

The structure in CIF format:
```
data_RbMg2GeIr
_chemical_formula_sum 'Rb1 Mg2 Ge1 Ir1'
_space_group_name_H-M_alt 'P 1'
_space_group_IT_number 1
_cell_length_a 5.218
_cell_length_b 5.218
_cell_length_c 4.762
_cell_angle_alpha 90.00
_cell_angle_beta 90.00
_cell_angle_gamma 90.00
loop_
_space_group_symop_operation_xyz
'x,y,z'
loop_
_atom_site_label
_atom_site_type_symbol
_atom_site_fract_x
_atom_site_fract_y
_atom_site_fract_z
_atom_site_occupancy
Mg1 Mg 0.000 0.500 0.000 1
Mg2 Mg 0.500 0.000 0.000 1
Rb1 Rb 0.500 0.500 0.500 1
Ge1 Ge 0.000 0.000 0.500 1
Ir1 Ir 0.000 0.000 0.000 1
```

---

[5]
A plane-wave DFT calculation with GGA-PBE was carried out for a geometry-optimized Tl2FeAu structure.

Results
The calculation puts the offset from the most stable computed form at 0.0551 eV per atom. The calculated formation energy is 338.6 meV/atom. The symmetry is Imm2, No. 44. As for the total energy: -3.780 eV/atom.

The structure in CIF format:
```
data_Tl2FeAu
_chemical_formula_sum 'Tl2 Fe1 Au1'
_space_group_name_H-M_alt 'P 1'
_space_group_IT_number 1
_cell_length_a 6.590
_cell_length_b 6.590
_cell_length_c 6.590
_cell_angle_alpha 152.94
_cell_angle_beta 137.68
_cell_angle_gamma 50.95
loop_
_space_group_symop_operation_xyz
'x,y,z'
loop_
_atom_site_label
_atom_site_type_symbol
_atom_site_fract_x
_atom_site_fract_y
_atom_site_fract_z
_atom_site_occupancy
Tl1 Tl 0.755 0.255 0.500 1
Tl2 Tl 0.046 0.046 0.000 1
Fe1 Fe 0.257 0.757 0.500 1
Au1 Au 0.441 0.441 0.000 1
```